Arrangement A

# LiMnTl2 PBE optimized geometry
# crystal system = tetragonal
# ρ = 8.06 g cm⁻³
# DOS(E_F) = 11.0 states/eV/cell
# total moment = 3.9 μB/f.u.
data_LiMnTl2
_space_group_name_H-M_alt 'I -4 2 d'
_space_group_IT_number 122
_space_group_name_Hall 'I -4 2bw'
_cell_length_a 4.5003
_cell_length_b 4.5003
_cell_length_c 19.1594
_cell_angle_alpha 90.00
_cell_angle_beta 90.00
_cell_angle_gamma 90.00
loop_
_atom_site_label
_atom_site_fract_x
_atom_site_fract_y
_atom_site_fract_z
_atom_site_occupancy
Li1 0.0000 0.0000 0.0000 1
Mn1 0.0000 0.0000 0.5000 1
Tl1 0.2486 0.2500 0.6250 1

---

Arrangement B

# LiMnTl2 PBE optimized geometry
# crystal system = cubic
# ρ = 8.64 g cm⁻³
# DOS(E_F) = 11.8 states/eV/cell
# total moment = 4.2 μB/f.u.
data_LiMnTl2
_space_group_name_H-M_alt 'F -4 3 m'
_space_group_IT_number 216
_space_group_name_Hall 'F -4 2 3'
_cell_length_a 7.1262
_cell_length_b 7.1262
_cell_length_c 7.1262
_cell_angle_alpha 90.00
_cell_angle_beta 90.00
_cell_angle_gamma 90.00
loop_
_atom_site_label
_atom_site_fract_x
_atom_site_fract_y
_atom_site_fract_z
_atom_site_occupancy
Li1 0.0000 0.0000 0.0000 1
Mn1 0.2500 0.2500 0.2500 1
Tl1 0.0000 0.0000 0.5000 1
Tl2 0.2500 0.2500 0.7500 1

---

Computed energies relative to the best structure, in meV per atom: arrangement A 54; arrangement B 0